[1]
VASP calculation (PBE-GGA) on a relaxed structure of Tm7Sb2Rh2.

Properties
Relative energy among the computed polymorphs = 0.160 eV per atom
Space group = Cmmm (65)

Structure (POSCAR):
```
Tm7Sb2Rh2
1.0
-2.254 5.635 2.912
-6.410 -2.845 0.545
1.992 -3.448 5.428
Tm Sb Rh
7 2 2
Cartesian
-2.811 3.222 5.758
-3.992 -2.786 7.296
-3.861 -3.880 3.127
-2.680 2.128 1.588
0.000 0.000 0.000
-5.046 -1.088 4.587
-1.627 0.430 4.297
-3.412 0.303 6.853
-3.260 -0.961 2.031
-7.485 0.266 4.156
0.812 -0.924 4.729
```

---

[2]
VASP calculation (PBE-GGA) on a relaxed structure of Tm12Sb6Rh.

Properties
Space group = R-3 (148)

Structure (POSCAR):
```
Tm12Sb6Rh
1.0
-7.705 -3.431 -0.371
4.546 -6.832 1.980
-0.420 3.717 7.568
Tm Sb Rh
12 6 1
Cartesian
-3.697 -5.069 4.320
-0.119 -4.859 5.865
-2.789 -2.155 6.753
0.119 -1.478 4.857
-3.460 -1.687 3.312
-0.789 -4.392 2.424
3.903 -5.809 4.307
2.653 -1.236 8.466
-1.026 -8.738 1.680
-7.481 -0.737 4.870
-6.231 -5.311 0.712
-2.552 2.192 7.498
-1.401 -7.040 4.167
-3.584 -3.945 1.295
1.883 -3.644 3.641
-2.177 0.494 5.010
0.006 -2.601 7.882
-5.461 -2.902 5.536
0.000 0.000 0.000
```

---

[3]
VASP calculation (PBE-GGA) on a relaxed structure of TmSb2Rh2.

Properties
Space group = P2_1/m (11)

Structure (POSCAR):
```
TmSb2Rh2
1.0
-0.395 0.558 -4.611
-2.112 -3.926 -0.294
-8.784 4.753 1.327
Tm Sb Rh
2 4 4
Cartesian
-6.764 2.711 -2.627
-4.527 -1.326 -0.951
-9.583 4.170 -2.209
-7.540 0.382 -0.486
-1.707 -2.785 -1.369
-3.751 1.003 -3.092
-4.897 1.337 -0.597
-3.278 -1.789 -3.470
-8.013 3.173 -0.108
-6.394 0.048 -2.981
```

---

[4]
VASP calculation (PBE-GGA) on a relaxed structure of TmSb2Rh3.

Properties
Space group = C2/m (12)

Structure (POSCAR):
```
TmSb2Rh3
1.0
-0.990 -0.491 4.015
-3.831 -7.124 -3.975
9.440 -2.531 2.019
Tm Sb Rh
3 6 9
Cartesian
5.331 -4.253 0.795
-0.713 -5.894 1.263
0.000 0.000 0.000
-0.453 -3.077 -0.488
5.072 -7.069 2.546
-1.904 -7.278 -1.359
6.522 -2.868 3.418
1.963 -6.692 -0.334
2.655 -3.454 2.392
2.714 -1.411 0.497
1.905 -8.735 1.561
1.869 -4.154 -0.047
2.749 -5.992 2.105
0.331 -2.351 1.954
4.288 -7.795 0.105
4.225 -1.511 3.017
-2.290 -4.762 -1.147
6.909 -5.384 3.205
```

---

[5]
VASP calculation (PBE-GGA) on a relaxed structure of Tm6Sb2Rh.

Properties
Space group = P4_2/mnm (136)

Structure (POSCAR):
```
Tm6Sb2Rh
1.0
6.680 0.000 0.000
0.000 6.680 0.000
0.000 0.000 13.382
Tm Sb Rh
12 4 2
Cartesian
2.091 2.091 4.701
4.589 4.589 4.701
1.249 5.431 11.392
5.431 1.249 11.392
1.249 5.431 1.991
5.431 1.249 1.991
2.091 2.091 8.682
4.589 4.589 8.682
1.885 1.885 0.000
4.795 4.795 0.000
1.455 5.226 6.691
5.226 1.455 6.691
0.000 0.000 4.446
3.340 3.340 11.137
3.340 3.340 2.245
0.000 0.000 8.936
0.000 0.000 0.000
3.340 3.340 6.691
```

---

[6]
VASP calculation (PBE-GGA) on a relaxed structure of TmSb2Rh.

Properties
Space group = R-3m (166)

Structure (POSCAR):
```
TmSb2Rh
1.0
3.468 0.000 0.000
1.734 3.003 0.000
1.734 1.001 9.729
Sb Tm Rh
2 1 1
Cartesian
1.734 1.001 6.684
5.201 3.003 3.045
0.000 0.000 0.000
3.468 2.002 4.864
```

---

[7]
VASP calculation (PBE-GGA) on a relaxed structure of Tm4Sb6Rh7.

Properties
Space group = Im-3m (229)

Structure (POSCAR):
```
Tm4Sb6Rh7
1.0
-6.819 -3.099 -1.053
4.293 -1.218 -6.108
3.283 -3.128 6.054
Tm Sb Rh
4 6 7
Cartesian
-3.410 -1.550 -0.526
0.379 -3.722 -0.553
2.147 -0.609 -3.054
1.642 -1.564 3.027
-2.420 -4.261 3.423
-1.729 -2.954 -4.900
2.392 -1.372 -0.017
-1.116 -1.966 1.579
-0.797 -1.363 -2.260
5.185 -2.974 -0.037
-2.147 -3.715 -2.330
3.157 -3.252 -1.817
0.631 -3.245 -3.594
-2.400 -4.193 0.711
2.904 -3.729 1.224
0.126 -4.200 2.487
0.000 0.000 0.000
```

---

[8]
VASP calculation (PBE-GGA) on a relaxed structure of USbRh.

Properties
Space group = I4mm (107)

Structure (POSCAR):
```
USbRh
1.0
3.478 0.000 0.000
0.000 3.478 0.000
-1.739 -1.739 5.261
Sb U Rh
1 1 1
Cartesian
0.000 0.000 3.096
1.739 1.739 0.994
1.739 1.739 4.854
```

---

[9]
VASP calculation (PBE-GGA) on a relaxed structure of USbRh.

Properties
Space group = F-43m (216)

Structure (POSCAR):
```
USbRh
1.0
-2.775 -3.111 2.029
0.495 -4.512 -0.944
1.699 -2.869 3.221
Sb U Rh
1 1 1
Cartesian
0.000 0.000 0.000
-0.290 -5.246 2.153
-0.145 -2.623 1.076
```

---

[10]
VASP calculation (PBE-GGA) on a relaxed structure of U2SbRh8.

Properties
Space group = Immm (71)

Structure (POSCAR):
```
U2SbRh8
1.0
-2.442 -1.113 3.581
4.567 -3.304 2.087
1.388 7.738 0.557
U Sb Rh
2 1 8
Cartesian
0.348 2.983 3.961
3.165 0.337 2.263
-1.221 -0.557 1.790
2.802 3.182 2.900
2.819 -1.387 4.287
2.606 1.273 4.969
0.131 5.768 4.678
0.907 2.047 1.255
0.694 4.707 1.937
0.711 0.139 3.324
3.383 -2.448 1.546
```

---

[11]
VASP calculation (PBE-GGA) on a relaxed structure of USbRh.

Properties
Space group = P3m1 (156)

Structure (POSCAR):
```
USbRh
1.0
3.826 0.000 0.000
0.000 4.467 0.000
0.000 -2.233 3.868
Sb U Rh
1 1 1
Cartesian
0.434 0.000 0.000
2.422 0.000 2.579
0.970 2.233 1.289
```

---

[12]
VASP calculation (PBE-GGA) on a relaxed structure of U3Sb4Rh3.

Properties
Space group = I-43d (220)

Structure (POSCAR):
```
U3Sb4Rh3
1.0
-1.554 7.631 2.870
-5.551 -1.936 -5.858
-0.532 -5.460 6.228
U Sb Rh
6 8 6
Cartesian
-2.452 2.340 6.450
-4.823 -5.275 1.415
-3.186 2.678 1.154
-2.303 -1.035 3.504
-6.089 3.347 -2.195
-4.058 -1.350 -0.608
-4.057 5.327 -0.561
-4.845 -4.327 -1.718
-1.216 -0.688 6.573
-5.156 0.159 2.188
-2.070 -3.359 1.211
-3.280 1.511 -1.997
-0.950 2.042 3.458
-1.337 0.041 0.567
-5.334 1.270 -0.264
-4.451 -2.443 2.086
-5.185 -2.105 -3.210
-2.814 5.511 1.825
-3.580 1.585 3.848
-1.548 -3.112 5.435
```

---

[13]
VASP calculation (PBE-GGA) on a relaxed structure of USbRh.

Properties
Space group = C2/m (12)

Structure (POSCAR):
```
USbRh
1.0
-3.659 0.123 -0.387
-0.131 -3.427 -1.341
-1.210 -3.335 7.939
U Sb Rh
2 2 2
Cartesian
-2.352 -2.254 -0.310
-0.875 -1.259 1.449
-2.969 -3.606 2.438
-1.468 -3.243 6.640
-1.166 -2.272 4.143
-3.271 -4.577 4.936
```

---

[14]
VASP calculation (PBE-GGA) on a relaxed structure of V2SbRh.

Properties
Space group = I-42d (122)

Structure (POSCAR):
```
V2SbRh
1.0
-4.134 -1.657 -5.558
3.346 -6.257 -0.623
-2.176 -5.075 -1.432
Sb Rh V
2 2 4
Cartesian
0.000 0.000 0.000
-3.352 -5.345 -5.041
-0.394 -3.957 -3.091
0.388 -7.644 -2.573
-2.587 -3.038 -3.745
0.908 -5.435 -1.607
-1.828 -6.959 -3.411
-2.420 -10.546 -6.465
```

---

[15]
VASP calculation (PBE-GGA) on a relaxed structure of VSb2Rh.

Properties
Space group = I-42d (122)

Structure (POSCAR):
```
VSb2Rh
1.0
6.590 0.000 0.000
0.000 6.590 0.000
3.295 3.295 4.767
Sb Rh V
4 2 2
Cartesian
5.051 1.648 1.192
1.539 4.943 1.192
4.943 4.834 3.576
8.238 8.346 3.576
0.000 0.000 0.000
6.590 3.295 2.384
3.295 3.295 0.000
3.295 6.590 2.384
```

---

[16]
VASP calculation (PBE-GGA) on a relaxed structure of VSb3Rh.

Properties
Relative energy among the computed polymorphs = 0.000 eV per atom
Space group = Pm-3m (221)

Structure (POSCAR):
```
VSb3Rh
1.0
-0.193 3.653 -3.598
-2.301 -3.279 -3.206
-4.582 1.493 1.762
Sb Rh V
3 1 1
Cartesian
-1.151 -1.640 -1.603
-2.291 0.747 0.881
-0.096 1.826 -1.799
0.000 0.000 0.000
-3.538 0.933 -2.521
```

---

[17]
VASP calculation (PBE-GGA) on a relaxed structure of VSb2Rh.

Properties
Space group = Fm-3m (225)

Structure (POSCAR):
```
VSb2Rh
1.0
1.049 -4.444 0.944
-3.069 -2.692 2.254
-2.185 -3.443 -2.263
Sb Rh V
2 1 1
Cartesian
-1.051 -2.645 0.234
-3.153 -7.934 0.701
-2.102 -5.290 0.468
0.000 0.000 0.000
```

---

[18]
VASP calculation (PBE-GGA) on a relaxed structure of VSb2Rh.

Properties
Space group = R-3m (166)

Structure (POSCAR):
```
VSb2Rh
1.0
3.178 0.000 0.000
1.589 2.752 0.000
1.589 0.917 9.105
Sb Rh V
2 1 1
Cartesian
1.589 0.917 6.561
4.766 2.752 2.544
0.000 0.000 0.000
3.178 1.835 4.552
```

---

[19]
VASP calculation (PBE-GGA) on a relaxed structure of VSb3Rh.

Properties
Relative energy among the computed polymorphs = 0.006 eV per atom
Space group = Pm-3m (221)

Structure (POSCAR):
```
VSb3Rh
1.0
-0.008 4.433 -2.323
-1.212 -2.255 -4.300
-4.856 0.556 1.077
Sb Rh V
3 1 1
Cartesian
-0.606 -1.128 -2.150
-2.428 0.278 0.539
-0.004 2.217 -1.161
-3.038 1.367 -2.773
0.000 0.000 0.000
```

---

[20]
VASP calculation (PBE-GGA) on a relaxed structure of SbRhW.

Properties
Relative energy among the computed polymorphs = 0.124 eV per atom
Space group = Imm2 (44)

Structure (POSCAR):
```
SbRhW
1.0
-1.480 2.003 4.351
1.480 -2.003 4.351
1.480 2.003 -4.351
Sb Rh W
1 1 1
Cartesian
0.000 0.000 5.791
0.000 0.000 8.627
0.000 0.000 2.987
```

---

Number 1: theoretical density 8.64 g/cm3, total DFT energy (no corrections) -5.53 eV per atom, formation energy (no corrections) -639 kJ/mol of formula units. Number 2: theoretical density 8.32 g/cm3, total DFT energy (no corrections) -5.16 eV per atom, formation energy (no corrections) -1180 kJ/mol of formula units. Number 3: theoretical density 9.79 g/cm3, total DFT energy (no corrections) -6.18 eV per atom, formation energy (no corrections) -337 kJ/mol of formula units. Number 4: theoretical density 10.33 g/cm3, total DFT energy (no corrections) -6.48 eV per atom, formation energy (no corrections) -394 kJ/mol of formula units. Number 5: theoretical density 7.56 g/cm3, total DFT energy (no corrections) -5.11 eV per atom, formation energy (no corrections) -340 kJ/mol of formula units. Number 6: theoretical density 8.45 g/cm3, total DFT energy (no corrections) -5.21 eV per atom, formation energy (no corrections) -74 kJ/mol of formula units. Number 7: theoretical density 10.60 g/cm3, total DFT energy (no corrections) -6.42 eV per atom, formation energy (no corrections) -1446 kJ/mol of formula units. Number 8: theoretical density 12.08 g/cm3, total DFT energy (no corrections) -7.84 eV per atom, formation energy (no corrections) -74 kJ/mol of formula units. Number 9: theoretical density 10.90 g/cm3, total DFT energy (no corrections) -8.11 eV per atom, formation energy (no corrections) -150 kJ/mol of formula units. Number 10: theoretical density 12.65 g/cm3, total DFT energy (no corrections) -8.23 eV per atom, formation energy (no corrections) -480 kJ/mol of formula units. Number 11: theoretical density 11.62 g/cm3, total DFT energy (no corrections) -8.02 eV per atom, formation energy (no corrections) -125 kJ/mol of formula units. Number 12: theoretical density 11.39 g/cm3, total DFT energy (no corrections) -7.77 eV per atom, formation energy (no corrections) -509 kJ/mol of formula units. Number 13: theoretical density 13.06 g/cm3, total DFT energy (no corrections) -7.87 eV per atom, formation energy (no corrections) -83 kJ/mol of formula units. Number 14: theoretical density 7.98 g/cm3, total DFT energy (no corrections) -7.22 eV per atom, formation energy (no corrections) 79 kJ/mol of formula units. Number 15: theoretical density 6.37 g/cm3, total DFT energy (no corrections) -5.81 eV per atom, formation energy (no corrections) 142 kJ/mol of formula units. Number 16: theoretical density 6.38 g/cm3, total DFT energy (no corrections) -5.11 eV per atom, formation energy (no corrections) 315 kJ/mol of formula units. Number 17: theoretical density 9.20 g/cm3, total DFT energy (no corrections) -6.18 eV per atom, formation energy (no corrections) -1 kJ/mol of formula units. Number 18: theoretical density 8.29 g/cm3, total DFT energy (no corrections) -5.99 eV per atom, formation energy (no corrections) 73 kJ/mol of formula units. Number 19: theoretical density 6.88 g/cm3, total DFT energy (no corrections) -5.11 eV per atom, formation energy (no corrections) 318 kJ/mol of formula units. Number 20: theoretical density 13.15 g/cm3, total DFT energy (no corrections) -7.82 eV per atom, formation energy (no corrections) 94 kJ/mol of formula units.